# 1
DFT (PBE) results for a relaxed BaHf2TiMn crystal.

DOS at the Fermi energy = 1.580 states/eV per atom
calculated formation energy = 2.541 eV/atom

```
data_BaHf2TiMn
_space_group_name_H-M_alt 'P 4/m m m'
_space_group_IT_number 123
_space_group_name_Hall '-P 4 2'
_cell_length_a 5.250
_cell_length_b 5.250
_cell_length_c 4.797
_cell_angle_alpha 90.00
_cell_angle_beta 90.00
_cell_angle_gamma 90.00
loop_
_atom_site_label
_atom_site_type_symbol
_atom_site_fract_x
_atom_site_fract_y
_atom_site_fract_z
Ba1 Ba 0.000 0.000 0.000
Hf1 Hf 0.000 0.500 0.000
Ti1 Ti 0.000 0.000 0.500
Mn1 Mn 0.500 0.500 0.500
```

=====

# 2
DFT (PBE) results for a relaxed BaHfMnW2 crystal.

DOS at the Fermi energy = 1.868 states/eV per atom
calculated formation energy = 3.668 eV/atom

```
data_BaHfMnW2
_space_group_name_H-M_alt 'P 4/m m m'
_space_group_IT_number 123
_space_group_name_Hall '-P 4 2'
_cell_length_a 4.961
_cell_length_b 4.961
_cell_length_c 5.096
_cell_angle_alpha 90.00
_cell_angle_beta 90.00
_cell_angle_gamma 90.00
loop_
_atom_site_label
_atom_site_type_symbol
_atom_site_fract_x
_atom_site_fract_y
_atom_site_fract_z
Ba1 Ba 0.000 0.000 0.000
Hf1 Hf 0.000 0.000 0.500
Mn1 Mn 0.500 0.500 0.500
W1 W 0.000 0.500 0.000
```

=====

# 3
DFT (PBE) results for a relaxed BaHfZr2Mn crystal.

DOS at the Fermi energy = 1.442 states/eV per atom
calculated formation energy = 0.913 eV/atom

```
data_BaHfZr2Mn
_space_group_name_H-M_alt 'P 4/m m m'
_space_group_IT_number 123
_space_group_name_Hall '-P 4 2'
_cell_length_a 5.324
_cell_length_b 5.324
_cell_length_c 5.305
_cell_angle_alpha 90.00
_cell_angle_beta 90.00
_cell_angle_gamma 90.00
loop_
_atom_site_label
_atom_site_type_symbol
_atom_site_fract_x
_atom_site_fract_y
_atom_site_fract_z
Ba1 Ba 0.000 0.000 0.000
Hf1 Hf 0.500 0.500 0.500
Zr1 Zr 0.000 0.500 0.500
Mn1 Mn 0.500 0.500 0.000
```

=====

Question: What is the DOS at the Fermi energy in the third record?
Answer: 1.442 states/eV per atom

=====

Question: Which formula does entry 2 have?
Answer: BaHfMnW2

=====

Copy entry 2 word for word.
DFT (PBE) results for a relaxed BaHfMnW2 crystal.

DOS at the Fermi energy = 1.868 states/eV per atom
calculated formation energy = 3.668 eV/atom

```
data_BaHfMnW2
_space_group_name_H-M_alt 'P 4/m m m'
_space_group_IT_number 123
_space_group_name_Hall '-P 4 2'
_cell_length_a 4.961
_cell_length_b 4.961
_cell_length_c 5.096
_cell_angle_alpha 90.00
_cell_angle_beta 90.00
_cell_angle_gamma 90.00
loop_
_atom_site_label
_atom_site_type_symbol
_atom_site_fract_x
_atom_site_fract_y
_atom_site_fract_z
Ba1 Ba 0.000 0.000 0.000
Hf1 Hf 0.000 0.000 0.500
Mn1 Mn 0.500 0.500 0.500
W1 W 0.000 0.500 0.000
```

=====

Please write out number 1 again, unchanged.
DFT (PBE) results for a relaxed BaHf2TiMn crystal.

DOS at the Fermi energy = 1.580 states/eV per atom
calculated formation energy = 2.541 eV/atom

```
data_BaHf2TiMn
_space_group_name_H-M_alt 'P 4/m m m'
_space_group_IT_number 123
_space_group_name_Hall '-P 4 2'
_cell_length_a 5.250
_cell_length_b 5.250
_cell_length_c 4.797
_cell_angle_alpha 90.00
_cell_angle_beta 90.00
_cell_angle_gamma 90.00
loop_
_atom_site_label
_atom_site_type_symbol
_atom_site_fract_x
_atom_site_fract_y
_atom_site_fract_z
Ba1 Ba 0.000 0.000 0.000
Hf1 Hf 0.000 0.500 0.000
Ti1 Ti 0.000 0.000 0.500
Mn1 Mn 0.500 0.500 0.500
```